(1)
Computed, not measured: a relaxed structure of Ba2In at the GGA-PBE level of DFT.

Geometry as CIF:
```
data_Ba2In
_chemical_formula_sum 'Ba8 In4'
_cell_length_a 17.819
_cell_length_b 5.032
_cell_length_c 7.079
_cell_angle_alpha 90.00
_cell_angle_beta 100.90
_cell_angle_gamma 90.00
_symmetry_space_group_name_H-M 'C 1 2/m 1'
_symmetry_Int_Tables_number 12
loop_
_symmetry_equiv_pos_as_xyz
'x,y,z'
'-x,-y,-z'
'-x,y,-z'
'x,-y,z'
'x+1/2,y+1/2,z'
'-x+1/2,-y+1/2,-z'
'-x+1/2,y+1/2,-z'
'x+1/2,-y+1/2,z'
loop_
_atom_site_label
_atom_site_fract_x
_atom_site_fract_y
_atom_site_fract_z
Ba1 0.089 0.000 0.293
Ba2 0.155 0.500 0.820
In1 0.235 0.500 0.362
```

Calculated values
- magnetization (μB per atom) = 0.013
- E_tot (eV per atom) = -2.4454
- crystal system = monoclinic
- calculated volume (Å³ per atom) = 51.9
- formation energy (kcal/mol of atoms) = -5.78

=====

(2)
Computed, not measured: a relaxed structure of Ba4In at the GGA-PBE level of DFT.

Geometry as CIF:
```
data_Ba4In
_chemical_formula_sum 'Ba16 In4'
_cell_length_a 8.601
_cell_length_b 15.730
_cell_length_c 8.430
_cell_angle_alpha 90.00
_cell_angle_beta 90.00
_cell_angle_gamma 90.00
_symmetry_space_group_name_H-M 'C c c e'
_symmetry_Int_Tables_number 68
loop_
_symmetry_equiv_pos_as_xyz
'x,y,z'
'-x,-y,-z'
'-x+1/2,-y,z'
'x+1/2,y,-z'
'x+1/2,-y,-z+1/2'
'-x+1/2,y,z+1/2'
'-x,y,-z+1/2'
'x,-y,z+1/2'
'x+1/2,y+1/2,z'
'-x+1/2,-y+1/2,-z'
'-x,-y+1/2,z'
'x,y+1/2,-z'
'x,-y+1/2,-z+1/2'
'-x,y+1/2,z+1/2'
'-x+1/2,y+1/2,-z+1/2'
'x+1/2,-y+1/2,z+1/2'
loop_
_atom_site_label
_atom_site_fract_x
_atom_site_fract_y
_atom_site_fract_z
Ba1 0.179 0.130 0.060
In1 0.000 0.250 0.750
```

Calculated values
- magnetization (μB per atom) = 0.004
- E_tot (eV per atom) = -2.1696
- crystal system = orthorhombic
- calculated volume (Å³ per atom) = 57.0
- formation energy (kcal/mol of atoms) = -1.93
- polymorph energy (0 for the lowest one) (eV per atom) = 0.0325

=====

(3)
Computed, not measured: a relaxed structure of Ba2In at the GGA-PBE level of DFT.

Geometry as CIF:
```
data_Ba2In
_chemical_formula_sum 'Ba8 In4'
_cell_length_a 4.241
_cell_length_b 20.861
_cell_length_c 6.347
_cell_angle_alpha 90.00
_cell_angle_beta 90.00
_cell_angle_gamma 90.00
_symmetry_space_group_name_H-M 'C m c m'
_symmetry_Int_Tables_number 63
_symmetry_space_group_name_Hall '-C 2c 2'
loop_
_atom_site_label
_atom_site_fract_x
_atom_site_fract_y
_atom_site_fract_z
Ba1 0.000 0.075 0.250
Ba2 0.000 0.206 0.750
In1 0.000 0.430 0.250
```

Calculated values
- magnetization (μB per atom) = 0.000
- E_tot (eV per atom) = -2.4503
- crystal system = orthorhombic
- calculated volume (Å³ per atom) = 46.8
- formation energy (kcal/mol of atoms) = -5.90

=====

(4)
Computed, not measured: a relaxed structure of BaIn3 at the GGA-PBE level of DFT.

Geometry as CIF:
```
data_BaIn3
_chemical_formula_sum 'Ba1 In3'
_cell_length_a 4.5942
_cell_length_b 4.5942
_cell_length_c 8.0107
_cell_angle_alpha 90.00
_cell_angle_beta 90.00
_cell_angle_gamma 120.00
_symmetry_space_group_name_H-M 'P -6 m 2'
_symmetry_Int_Tables_number 187
_symmetry_space_group_name_Hall 'P -6 2'
loop_
_atom_site_label
_atom_site_fract_x
_atom_site_fract_y
_atom_site_fract_z
Ba1 0.0000 0.0000 0.0000
In1 0.0000 0.0000 0.5000
In2 0.6667 0.3333 0.3088
```

Calculated values
- magnetization (μB per atom) = 0.000
- E_tot (eV per atom) = -2.7239
- crystal system = hexagonal
- calculated volume (Å³ per atom) = 36.6
- formation energy (kcal/mol of atoms) = -4.37